# La6Pm2PrY PBE optimized geometry
data_La6Pm2PrY
_cell_length_a 11.5450
_cell_length_b 7.1222
_cell_length_c 9.2330
_cell_angle_alpha 90.00
_cell_angle_beta 106.88
_cell_angle_gamma 90.00
_symmetry_space_group_name_H-M 'C 1 2/m 1'
_symmetry_Int_Tables_number 12
loop_
_symmetry_equiv_pos_as_xyz
'x,y,z'
'-x,-y,-z'
'-x,y,-z'
'x,-y,z'
'x+1/2,y+1/2,z'
'-x+1/2,-y+1/2,-z'
'-x+1/2,y+1/2,-z'
'x+1/2,-y+1/2,z'
loop_
_atom_site_label
_atom_site_fract_x
_atom_site_fract_y
_atom_site_fract_z
La1 0.1267 0.0000 0.4219
La2 0.1922 0.2681 0.7985
Pm1 0.0784 0.5000 0.1721
Pr1 0.0000 0.0000 0.0000
Y1 0.0000 0.5000 0.5000
# Theoretical density in g/cm³: 6.19
# Total magnetic moment in μB/cell: 0.0
# Formation energy from the elements in meV per atom: 178
# Total energy in eV/cell: -97.1